Here is a geometry-optimized LiPm2PaN4 structure from Alexandria via LeMat-Bulk. Energies are from PBE.

Geometry as POSCAR:
```
LiPm2PaN4
1.0
5.920 0.000 0.000
0.000 3.635 0.000
-1.702 0.000 5.778
Li Pm Pa N
1 2 1 4
Cartesian
0.000 0.000 0.000
-0.851 1.818 2.889
2.109 0.000 2.889
2.960 1.818 0.000
0.217 0.000 4.398
1.326 1.818 1.429
2.893 1.818 4.349
4.001 0.000 1.380
```

Values from the calculation:
The value obtained for the total energy is -8.028 eV per atom. Its symmetry is P2/m (10).

***

Here is a geometry-optimized Li3PmPa2N6 structure from Alexandria via LeMat-Bulk. Energies are from PBE.

Geometry as POSCAR:
```
Li3PmPa2N6
1.0
3.057 -5.320 0.000
3.057 5.320 0.000
-2.007 0.000 5.029
Li Pm Pa N
3 1 2 6
Cartesian
0.000 0.000 0.000
3.057 1.913 0.000
3.057 -1.913 0.000
2.053 0.000 2.515
2.053 3.553 2.515
2.053 -3.553 2.515
0.962 1.892 1.390
-0.129 0.000 3.650
0.962 -1.892 1.390
3.145 1.892 3.639
4.235 0.000 1.379
3.145 -1.892 3.639
```

Values from the calculation:
The value obtained for the total energy is -7.600 eV per atom. Its symmetry is C2/m (12).

***

Here is a geometry-optimized LiPr4Pa3N8 structure from Alexandria via LeMat-Bulk. Energies are from PBE.

Geometry as POSCAR:
```
LiPr4Pa3N8
1.0
3.557 2.053 5.887
-3.557 2.053 5.887
0.000 -4.107 5.887
Li Pr Pa N
1 4 3 8
Cartesian
0.000 0.000 0.000
-3.557 0.000 8.831
-1.778 1.027 2.944
1.778 1.027 2.944
0.000 0.000 8.831
-1.778 -1.027 5.887
-1.778 1.027 11.775
0.000 2.053 5.887
0.000 -1.896 7.166
-1.642 0.948 7.166
0.000 0.000 4.653
-1.642 -0.948 10.497
1.642 0.948 7.166
0.000 0.000 13.009
1.642 -0.948 10.497
0.000 1.896 10.497
```

Values from the calculation:
The value obtained for the total energy is -8.650 eV per atom. Its symmetry is R-3m (166).

***

What is the formula in the first record? LiPm2PaN4

***

Repeat the first record exactly.
Here is a geometry-optimized LiPm2PaN4 structure from Alexandria via LeMat-Bulk. Energies are from PBE.

Geometry as POSCAR:
```
LiPm2PaN4
1.0
5.920 0.000 0.000
0.000 3.635 0.000
-1.702 0.000 5.778
Li Pm Pa N
1 2 1 4
Cartesian
0.000 0.000 0.000
-0.851 1.818 2.889
2.109 0.000 2.889
2.960 1.818 0.000
0.217 0.000 4.398
1.326 1.818 1.429
2.893 1.818 4.349
4.001 0.000 1.380
```

Values from the calculation:
The value obtained for the total energy is -8.028 eV per atom. Its symmetry is P2/m (10).